DFT (PBE) results for an optimized crystal structure of MgZr.

abc: 6.3457 5.1156 8.6165
angles: 90.00 101.39 90.00
Space group P2_1/m (No. 11)
Unique sites:
Mg1 0.1424 0.2500 0.0638 x2
Mg2 0.3146 0.2500 0.7303 x2
Mg3 0.3481 0.7500 0.9302 x2
Zr1 0.0142 0.7500 0.5903 x2
Zr2 0.1900 0.7500 0.2760 x2
Zr3 0.4773 0.2500 0.4043 x2

Theoretical density in g/cm3: 4.20
Uncorrected energy in eV for the cell shown: -60.08